Pr4Y3ErS8: relaxed, PBE.

Lattice parameters (Å, degrees): 8.100 8.100 8.100 58.61 58.61 58.61
Element x y z (fractional)
Pr 0.000 0.000 0.000
Pr 0.000 0.500 0.500
Pr 0.500 0.000 0.500
Pr 0.500 0.500 0.000
Y 0.000 0.000 0.500
Y 0.000 0.500 0.000
Y 0.500 0.000 0.000
Er 0.500 0.500 0.500
S 0.244 0.244 0.244
S 0.246 0.742 0.742
S 0.258 0.258 0.754
S 0.258 0.754 0.258
S 0.742 0.246 0.742
S 0.742 0.742 0.246
S 0.754 0.258 0.258
S 0.756 0.756 0.756

Results
N(E_F)	6.98	states/eV/f.u.
ΔE_f (raw)	-2.009	eV/atom
SG	R-3m